Sr7CaIr2O12 | GGA-PBEsol | optimized geometry

abc: 6.8027 6.8027 6.8027
angles: 90.76 90.76 90.76
With the nearest neighbours (Å) after each atom.
Atoms (fractional coordinates):
O: 0.6894 0.8235 0.0321  1 Ir 2.05
O: 0.4617 0.7999 0.6676  1 Ir 2.04
Sr: 0.1366 0.8634 0.5000  8 O 2.52-2.76
Sr: 0.6345 0.0000 0.3655  8 O 2.54-2.75
O: 0.7999 0.6676 0.4617  1 Ir 2.04
O: 0.3106 0.9679 0.1765  1 Ir 2.05
O: 0.0321 0.6894 0.8235  1 Ir 2.05
Sr: 0.0000 0.0000 0.0000  6 O 2.43
O: 0.9679 0.1765 0.3106  1 Ir 2.05
O: 0.5383 0.3324 0.2001  1 Ir 2.04
O: 0.3324 0.2001 0.5383  1 Ir 2.04
Ir: 0.2535 0.2535 0.2535  6 O 2.04-2.05
O: 0.6676 0.4617 0.7999  1 Ir 2.04
Ir: 0.7465 0.7465 0.7465  6 O 2.04-2.05
O: 0.2001 0.5383 0.3324  1 Ir 2.04
O: 0.1765 0.3106 0.9679  1 Ir 2.05
Sr: 0.5000 0.1366 0.8634  8 O 2.52-2.76
Sr: 0.0000 0.3655 0.6345  8 O 2.54-2.75
Sr: 0.8634 0.5000 0.1366  8 O 2.52-2.76
Ca: 0.5000 0.5000 0.5000  6 O 2.34
Sr: 0.3655 0.6345 0.0000  8 O 2.54-2.75
O: 0.8235 0.0321 0.6894  1 Ir 2.05

Calculated values
DOS(E_F) ... 12.0 states/eV/cell
Calculated volume ... 14.31 Å³/atom
Mass density ... 6.5 g cm⁻³
Raw formation energy ... -226.3 kJ/mol of atoms
E ... -6.78 eV/atom

=====

LiPb3 | GGA-PBEsol | optimized geometry

abc: 3.5873 5.5797 6.3051
angles: 116.26 106.53 90.00
With the nearest neighbours (Å) after each atom.
Atoms (fractional coordinates):
Li: 0.0000 0.9836 0.0000  10 Pb 3.17-3.53
Pb: 0.5000 0.4604 0.0000  4 Li 3.21-3.43, 8 Pb 3.37-3.59
Pb: 0.2645 0.6258 0.5290  3 Li 3.17-3.53, 7 Pb 3.33-3.40
Pb: 0.7355 0.0968 0.4710  3 Li 3.17-3.53, 7 Pb 3.33-3.40

Calculated values
DOS(E_F) ... 1.7 states/eV/cell
DFT formation energy ... -0.10 eV/atom
Calculated volume ... 26.83 Å³/atom
Mass density ... 9.7 g cm⁻³
E ... -3.59 eV/atom

=====

FeReRh2 | GGA-PBEsol | optimized geometry

abc: 2.6843 2.6843 7.3919
angles: 90.00 90.00 90.00
With the nearest neighbours (Å) after each atom.
Atoms (fractional coordinates):
Re: 0.5000 0.5000 0.5000  8 Rh 2.67, 4 Re 2.68
Rh: 0.0000 0.0000 0.2461  4 Fe 2.63, 4 Re 2.67, 4 Rh 2.68
Rh: 0.0000 0.0000 0.7539  4 Fe 2.63, 4 Re 2.67, 4 Rh 2.68
Fe: 0.5000 0.5000 0.0000  8 Rh 2.63, 4 Fe 2.68

Calculated values
DOS(E_F) ... 3.5 states/eV/cell
DFT formation energy ... -0.06 eV/atom
Calculated volume ... 13.32 Å³/atom
Mass density ... 14.0 g cm⁻³
E ... -9.70 eV/atom

=====

K2Li2I | GGA-PBEsol | optimized geometry

abc: 5.9320 8.0971 8.0971
angles: 90.00 90.00 90.00
With the nearest neighbours (Å) after each atom.
Atoms (fractional coordinates):
Li: 0.0000 0.1295 0.3705  1 Li 2.97, 2 I 3.18
Li: 0.0000 0.3705 0.8705  1 Li 2.97, 2 I 3.18
K: 0.5000 0.8194 0.3194  6 Li 3.68-3.91
I: 0.0000 0.5000 0.5000  4 Li 3.18
K: 0.5000 0.1806 0.6806  6 Li 3.68-3.91
I: 0.0000 0.0000 0.0000  4 Li 3.18
K: 0.5000 0.3194 0.1806  6 Li 3.68-3.91
K: 0.5000 0.6806 0.8194  6 Li 3.68-3.91
Li: 0.0000 0.8705 0.6295  1 Li 2.97, 2 I 3.18
Li: 0.0000 0.6295 0.1295  1 Li 2.97, 2 I 3.18

Calculated values
DOS(E_F) ... 4.3 states/eV/cell
Calculated volume ... 38.89 Å³/atom
Mass density ... 1.9 g cm⁻³
Raw formation energy ... -27.6 kJ/mol of atoms
E ... -1.88 eV/atom

=====

Li2Fe3SbO8 | GGA-PBEsol | optimized geometry

abc: 5.6441 5.6441 5.9183
angles: 61.52 61.52 60.00
With the nearest neighbours (Å) after each atom.
Atoms (fractional coordinates):
O: 0.7455 0.2807 0.2283  1 Li 1.90, 2 Fe 1.94, 1 Sb 2.02
O: 0.2662 0.2662 0.2015  3 Fe 1.91, 1 Li 2.06
O: 0.2807 0.7455 0.2283  1 Li 1.90, 2 Fe 1.94, 1 Sb 2.02
O: 0.7455 0.7455 0.2283  1 Li 1.90, 2 Fe 1.94, 1 Sb 2.02
O: 0.7193 0.2545 0.7717  1 Li 1.90, 2 Fe 1.94, 1 Sb 2.02
Li: 0.1269 0.1269 0.6194  4 O 1.90-2.06
Li: 0.8731 0.8731 0.3806  4 O 1.90-2.06
Fe: 0.5000 0.0000 0.0000  6 O 1.91-1.94
O: 0.2545 0.7193 0.7717  1 Li 1.90, 2 Fe 1.94, 1 Sb 2.02
Fe: 0.5000 0.5000 0.0000  6 O 1.91-1.94
O: 0.2545 0.2545 0.7717  1 Li 1.90, 2 Fe 1.94, 1 Sb 2.02
Fe: 0.0000 0.5000 0.0000  6 O 1.91-1.94
Sb: 0.5000 0.5000 0.5000  6 O 2.02
O: 0.7338 0.7338 0.7985  3 Fe 1.91, 1 Li 2.06

Calculated values
DOS(E_F) ... 5.9 states/eV/cell
Calculated volume ... 9.74 Å³/atom
Mass density ... 5.3 g cm⁻³
Raw formation energy ... -145.4 kJ/mol of atoms
E ... -7.03 eV/atom

=====

YZnPdF2 | GGA-PBEsol | optimized geometry

abc: 3.8425 3.8425 7.7751
angles: 90.00 90.00 90.00
With the nearest neighbours (Å) after each atom.
Atoms (fractional coordinates):
Zn: 0.0000 0.0000 0.0000  4 F 1.92
Y: 0.0000 0.0000 0.5000  4 Pd 2.72
F: 0.0000 0.5000 0.0000  2 Zn 1.92
F: 0.5000 0.0000 0.0000  2 Zn 1.92
Pd: 0.5000 0.5000 0.5000  4 Y 2.72

Calculated values
DOS(E_F) ... 2.9 states/eV/cell
Calculated volume ... 22.96 Å³/atom
Mass density ... 4.3 g cm⁻³
Raw formation energy ... -100.3 kJ/mol of atoms
E ... -4.68 eV/atom

=====

Tl2Ni | GGA-PBEsol | optimized geometry

abc: 2.9462 5.0092 5.0092
angles: 120.00 90.00 90.00
With the nearest neighbours (Å) after each atom.
Atoms (fractional coordinates):
Ni: 0.0000 0.0000 0.0000  2 Ni 2.95, 12 Tl 3.25
Tl: 0.5000 0.3333 0.6667  5 Tl 2.89-2.95
Tl: 0.5000 0.6667 0.3333  5 Tl 2.89-2.95

Calculated values
DOS(E_F) ... 2.1 states/eV/cell
DFT formation energy ... 0.65 eV/atom
Calculated volume ... 21.34 Å³/atom
Mass density ... 12.1 g cm⁻³
E ... -3.16 eV/atom

=====

V6O7F5 | GGA-PBEsol | optimized geometry

abc: 4.6586 4.6586 8.7274
angles: 90.00 90.00 94.37
With the nearest neighbours (Å) after each atom.
Atoms (fractional coordinates):
V: 0.4744 0.5256 0.5000  5 O 1.87-1.96
O: 0.7031 0.6990 0.0000  3 V 1.89-1.94
F: 0.2035 0.7965 0.1673  3 V 2.01-2.04
V: 0.5017 0.4983 0.1682  4 O 1.92-1.94, 2 F 2.03-2.04
O: 0.3010 0.2969 0.0000  3 V 1.89-1.94
F: 0.7990 0.2010 0.8312  3 V 2.01-2.11
V: 0.0123 0.9877 0.6571  3 O 1.88-1.89, 2 F 2.01-2.02
V: 0.9983 0.0017 0.0000  2 O 1.89, 4 F 2.01-2.02
V: 0.5017 0.4983 0.8318  4 O 1.92-1.94, 2 F 2.03-2.04
O: 0.7014 0.7046 0.6684  3 V 1.89-1.96
V: 0.0123 0.9877 0.3429  3 O 1.88-1.89, 2 F 2.01-2.02
F: 0.7990 0.2010 0.1688  3 V 2.01-2.11
O: 0.2954 0.2986 0.3316  3 V 1.89-1.96
O: 0.7014 0.7046 0.3316  3 V 1.89-1.96
O: 0.2004 0.7996 0.5000  3 V 1.87-1.88
F: 0.7961 0.2039 0.5000  3 V 2.02-2.20
F: 0.2035 0.7965 0.8327  3 V 2.01-2.04
O: 0.2954 0.2986 0.6684  3 V 1.89-1.96

Calculated values
DOS(E_F) ... 9.8 states/eV/cell
Calculated volume ... 10.49 Å³/atom
Mass density ... 4.5 g cm⁻³
Raw formation energy ... -238.5 kJ/mol of atoms
E ... -8.26 eV/atom

=====

Ag3AsCl | GGA-PBEsol | optimized geometry

abc: 4.8697 4.8697 4.8697
angles: 90.00 90.00 90.00
With the nearest neighbours (Å) after each atom.
Atoms (fractional coordinates):
As: 0.0000 0.0000 0.0000  6 Ag 2.43
Ag: 0.0000 0.5000 0.0000  2 As 2.43
Cl: 0.5000 0.5000 0.5000  12 Ag 3.44
Ag: 0.5000 0.0000 0.0000  2 As 2.43
Ag: 0.0000 0.0000 0.5000  2 As 2.43

Calculated values
DOS(E_F) ... 7.5 states/eV/cell
Calculated volume ... 23.10 Å³/atom
Mass density ... 6.2 g cm⁻³
Raw formation energy ... 28.6 kJ/mol of atoms
E ... -3.11 eV/atom

=====

BaScRe | GGA-PBEsol | optimized geometry

abc: 3.4202 3.4202 6.9551
angles: 104.23 104.23 90.00
With the nearest neighbours (Å) after each atom.
Atoms (fractional coordinates):
Sc: 0.2860 0.2860 0.5721  4 Re 2.71
Ba: 0.0223 0.0223 0.0445  4 Re 3.28, 4 Ba 3.42, 1 Sc 3.44
Re: 0.6917 0.6917 0.3834  4 Sc 2.71

Calculated values
DOS(E_F) ... 3.3 states/eV/cell
DFT formation energy ... 0.61 eV/atom
Calculated volume ... 25.43 Å³/atom
Mass density ... 8.0 g cm⁻³
E ... -6.75 eV/atom

=====

Co2SiCl | GGA-PBEsol | optimized geometry

abc: 2.9348 2.9348 7.3368
angles: 78.46 78.46 60.00
With the nearest neighbours (Å) after each atom.
Atoms (fractional coordinates):
Co: 0.7538 0.7538 0.7387  3 Si 2.23
Si: 0.4878 0.4878 0.5366  3 Co 2.23
Co: 0.0004 0.0004 0.9987  3 Cl 2.35, 3 Co 2.51
Cl: 0.2580 0.2580 0.2260  3 Co 2.35

Calculated values
DOS(E_F) ... 4.1 states/eV/cell
Calculated volume ... 13.31 Å³/atom
Mass density ... 5.7 g cm⁻³
Raw formation energy ... 21.4 kJ/mol of atoms
E ... -5.59 eV/atom

=====

Ho2Co5Ni5 | GGA-PBEsol | optimized geometry

abc: 3.9019 4.8144 8.2646
angles: 90.00 90.00 90.00
With the nearest neighbours (Å) after each atom.
Atoms (fractional coordinates):
Ho: 0.0000 0.0000 0.5000  6 Co 2.75-2.76
Co: 0.0000 0.5000 0.3400  2 Co 2.36, 4 Ni 2.41
Ni: 0.5000 0.2498 0.2504  5 Co 2.39-2.41, 3 Ni 2.39-2.41
Co: 0.0000 0.0000 0.1658  6 Ni 2.38-2.40
Co: 0.0000 0.0000 0.8342  6 Ni 2.38-2.40
Ni: 0.5000 0.7502 0.7496  5 Co 2.39-2.41, 3 Ni 2.39-2.41
Co: 0.0000 0.5000 0.6600  2 Co 2.36, 4 Ni 2.41
Ho: 0.0000 0.5000 0.0000  6 Co 2.77-2.81, 12 Ni 3.09-3.10
Co: 0.5000 0.5000 0.5000  4 Co 2.36, 4 Ni 2.39
Ni: 0.5000 0.2498 0.7496  5 Co 2.39-2.41, 3 Ni 2.39-2.41
Ni: 0.5000 0.7502 0.2504  5 Co 2.39-2.41, 3 Ni 2.39-2.41
Ni: 0.5000 0.0000 0.0000  4 Co 2.38, 4 Ni 2.39

Calculated values
DOS(E_F) ... 18.4 states/eV/cell
DFT formation energy ... -0.18 eV/atom
Calculated volume ... 12.94 Å³/atom
Mass density ... 9.8 g cm⁻³
E ... -6.79 eV/atom

=====

ErUTe6 | GGA-PBEsol | optimized geometry

abc: 4.3078 4.2942 12.6301
angles: 99.79 90.00 90.00
With the nearest neighbours (Å) after each atom.
Atoms (fractional coordinates):
Er: 0.5000 0.1681 0.3361  9 Te 3.18-3.20
Te: 0.5000 0.2956 0.5912  1 Er 3.18, 4 U 3.18
Te: 0.0000 0.4259 0.8518  4 Te 3.04, 2 U 3.17
U: 0.0000 0.8324 0.6649  9 Te 3.15-3.18
Te: 0.0000 0.7059 0.4117  1 U 3.15, 4 Er 3.18
Te: 0.0000 0.0730 0.1459  4 Te 3.04, 2 Er 3.20
Te: 0.5000 0.9259 0.8517  4 Te 3.04, 2 U 3.17
Te: 0.5000 0.5733 0.1466  4 Te 3.04, 2 Er 3.19

Calculated values
DOS(E_F) ... 10.1 states/eV/cell
Calculated volume ... 28.78 Å³/atom
Mass density ... 8.4 g cm⁻³
Raw formation energy ... -65.7 kJ/mol of atoms
E ... -5.46 eV/atom

=====

Al2SiCl | GGA-PBEsol | optimized geometry

abc: 2.9025 4.7869 4.9218
angles: 90.00 90.00 90.00
With the nearest neighbours (Å) after each atom.
Atoms (fractional coordinates):
Al: 0.0000 0.0000 0.0000  4 Cl 2.80, 6 Al 2.86-2.90
Si: 0.0000 0.5000 0.5000  4 Al 2.80, 4 Cl 2.86, 2 Si 2.90
Cl: 0.5000 0.5000 0.0000  4 Al 2.80, 4 Si 2.86, 2 Cl 2.90
Al: 0.5000 0.0000 0.5000  4 Si 2.80, 6 Al 2.86-2.90

Calculated values
DOS(E_F) ... 1.3 states/eV/cell
Calculated volume ... 17.10 Å³/atom
Mass density ... 2.9 g cm⁻³
Raw formation energy ... 11.7 kJ/mol of atoms
E ... -3.86 eV/atom

=====

MgTc2PtRh | GGA-PBEsol | optimized geometry

abc: 4.6429 4.6429 4.8681
angles: 90.00 90.00 90.00
With the nearest neighbours (Å) after each atom.
Atoms (fractional coordinates):
Tc: 0.5000 0.0000 0.0000  2 Pt 2.32
Pt: 0.0000 0.0000 0.0000  4 Tc 2.32, 2 Rh 2.43
Rh: 0.0000 0.0000 0.5000  2 Pt 2.43
Mg: 0.5000 0.5000 0.5000  4 Rh 3.28, 8 Tc 3.36
Tc: 0.0000 0.5000 0.0000  2 Pt 2.32

Calculated values
DOS(E_F) ... 8.5 states/eV/cell
DFT formation energy ... 1.62 eV/atom
Calculated volume ... 20.99 Å³/atom
Mass density ... 8.2 g cm⁻³
E ... -6.25 eV/atom

=====

Zr5In3Ag | GGA-PBEsol | optimized geometry

abc: 5.8598 8.6600 8.6600
angles: 120.00 90.00 90.00
With the nearest neighbours (Å) after each atom.
Atoms (fractional coordinates):
Zr: 0.7500 0.2981 0.2981  5 In 2.91-2.99, 2 Ag 2.97
Zr: 0.0000 0.3333 0.6667  2 Zr 2.93, 6 In 3.13
In: 0.2500 0.0000 0.6356  9 Zr 2.91-3.13
In: 0.7500 0.6356 0.6356  9 Zr 2.91-3.13
In: 0.7500 0.3644 0.0000  9 Zr 2.91-3.13
Zr: 0.7500 0.0000 0.7019  5 In 2.91-2.99, 2 Ag 2.97
Zr: 0.2500 0.7019 0.7019  5 In 2.91-2.99, 2 Ag 2.97
Zr: 0.7500 0.7019 0.0000  5 In 2.91-2.99, 2 Ag 2.97
In: 0.2500 0.6356 0.0000  9 Zr 2.91-3.13
Zr: 0.2500 0.2981 0.0000  5 In 2.91-2.99, 2 Ag 2.97
In: 0.7500 0.0000 0.3644  9 Zr 2.91-3.13
Ag: 0.5000 0.0000 0.0000  2 Ag 2.93, 6 Zr 2.97
Zr: 0.5000 0.6667 0.3333  2 Zr 2.93, 6 In 3.13
Zr: 0.5000 0.3333 0.6667  2 Zr 2.93, 6 In 3.13
Ag: 0.0000 0.0000 0.0000  2 Ag 2.93, 6 Zr 2.97
Zr: 0.2500 0.0000 0.2981  5 In 2.91-2.99, 2 Ag 2.97
In: 0.2500 0.3644 0.3644  9 Zr 2.91-3.13
Zr: 0.0000 0.6667 0.3333  2 Zr 2.93, 6 In 3.13

Calculated values
DOS(E_F) ... 18.2 states/eV/cell
DFT formation energy ... -0.27 eV/atom
Calculated volume ... 21.14 Å³/atom
Mass density ... 7.9 g cm⁻³
E ... -6.69 eV/atom

=====

LaTlAsBr2 | GGA-PBEsol | optimized geometry

abc: 5.6696 5.7532 5.7532
angles: 90.00 90.00 90.00
With the nearest neighbours (Å) after each atom.
Atoms (fractional coordinates):
Br: 0.0000 0.0000 0.5000  2 La 2.88
As: 0.5000 0.0000 0.0000  2 La 2.83
La: 0.0000 0.0000 0.0000  2 As 2.83, 4 Br 2.88
Tl: 0.5000 0.5000 0.5000  8 Br 4.04, 4 As 4.07
Br: 0.0000 0.5000 0.0000  2 La 2.88

Calculated values
DOS(E_F) ... 4.2 states/eV/cell
Calculated volume ... 37.53 Å³/atom
Mass density ... 5.1 g cm⁻³
Raw formation energy ... -75.5 kJ/mol of atoms
E ... -4.15 eV/atom

=====

TaSi | GGA-PBEsol | optimized geometry

abc: 4.9943 4.9943 4.9943
angles: 90.00 90.00 90.00
With the nearest neighbours (Å) after each atom.
Atoms (fractional coordinates):
Si: 0.0972 0.5972 0.9028  7 Ta 2.54-2.76
Ta: 0.8902 0.6098 0.3902  7 Si 2.54-2.76
Si: 0.4028 0.4028 0.4028  7 Ta 2.54-2.76
Si: 0.9028 0.0972 0.5972  7 Ta 2.54-2.76
Si: 0.5972 0.9028 0.0972  7 Ta 2.54-2.76
Ta: 0.6098 0.3902 0.8902  7 Si 2.54-2.76
Ta: 0.3902 0.8902 0.6098  7 Si 2.54-2.76
Ta: 0.1098 0.1098 0.1098  7 Si 2.54-2.76

Calculated values
DOS(E_F) ... 2.7 states/eV/cell
Calculated volume ... 15.57 Å³/atom
Mass density ... 11.1 g cm⁻³
Raw formation energy ... -50.3 kJ/mol of atoms
E ... -9.67 eV/atom

=====

Nd2Ru2O7 | GGA-PBEsol | optimized geometry

abc: 7.2735 7.2735 7.2735
angles: 60.00 60.00 60.00
With the nearest neighbours (Å) after each atom.
Atoms (fractional coordinates):
O: 0.7966 0.2034 0.7966  2 Ru 1.99
O: 0.4534 0.0466 0.4534  2 Ru 1.99
Ru: 0.6250 0.1250 0.1250  6 O 1.99
Ru: 0.1250 0.6250 0.1250  6 O 1.99
O: 0.7966 0.7966 0.2034  2 Ru 1.99
O: 0.5000 0.5000 0.5000  4 Nd 2.23
O: 0.2034 0.2034 0.7966  2 Ru 1.99
O: 0.4534 0.0466 0.0466  2 Ru 1.99
O: 0.7966 0.2034 0.2034  2 Ru 1.99
Nd: 0.6250 0.1250 0.6250  2 O 2.23
O: 0.4534 0.4534 0.0466  2 Ru 1.99
Nd: 0.1250 0.6250 0.6250  2 O 2.23
O: 0.0466 0.0466 0.4534  2 Ru 1.99
Nd: 0.6250 0.6250 0.6250  2 O 2.23
O: 0.0466 0.4534 0.0466  2 Ru 1.99
O: 0.7500 0.7500 0.7500  4 Nd 2.23
O: 0.2034 0.7966 0.2034  2 Ru 1.99
Ru: 0.1250 0.1250 0.1250  6 O 1.99
Ru: 0.1250 0.1250 0.6250  6 O 1.99
Nd: 0.6250 0.6250 0.1250  2 O 2.23
O: 0.2034 0.7966 0.7966  2 Ru 1.99
O: 0.0466 0.4534 0.4534  2 Ru 1.99

Calculated values
DOS(E_F) ... 15.6 states/eV/cell
Calculated volume ... 12.37 Å³/atom
Mass density ... 7.4 g cm⁻³
Raw formation energy ... -204.6 kJ/mol of atoms
E ... -8.25 eV/atom

=====

Zn2Ir | GGA-PBEsol | optimized geometry

abc: 2.7503 4.1117 4.1117
angles: 120.00 90.00 90.00
With the nearest neighbours (Å) after each atom.
Atoms (fractional coordinates):
Zn: 0.5158 0.6667 0.3333  3 Zn 2.38
Ir: 0.0000 0.0000 0.0000  12 Zn 2.72-2.77, 2 Ir 2.75
Zn: 0.4842 0.3333 0.6667  3 Zn 2.38

Calculated values
DOS(E_F) ... 1.0 states/eV/cell
DFT formation energy ... -0.17 eV/atom
Calculated volume ... 13.42 Å³/atom
Mass density ... 13.3 g cm⁻³
E ... -4.50 eV/atom